# 1
DFT (GGA-PBE) results for an optimized crystal structure of Zn2Ga5Cu12.

abc: 12.3027 6.8553 6.3050
angles: 90.00 96.00 90.00
Closest atoms and distances in Å follow each position.
Space group C2/m (No. 12)
One atom of each set of equivalent atoms:
Zn1 0.0000 0.2014 0.0000 (multiplicity 4)  4 Cu 2.44-2.63
Ga1 0.0000 0.0000 0.5000 (multiplicity 2)  6 Cu 2.49-2.75, 2 Ga 2.66
Ga2 0.1507 0.5000 0.1154 (multiplicity 4)  9 Cu 2.44-2.64
Ga3 0.2164 0.0000 0.5071 (multiplicity 4)  7 Cu 2.47-2.59, 2 Ga 2.66-2.74
Cu1 0.0473 0.5000 0.7632 (multiplicity 4)  2 Ga 2.44-2.63, 6 Cu 2.52-2.65, 2 Zn 2.63
Cu2 0.1016 0.3076 0.4471 (multiplicity 8)  4 Ga 2.49-2.60, 5 Cu 2.52-2.68
Cu3 0.1417 0.0000 0.8667 (multiplicity 4)  2 Zn 2.44, 4 Cu 2.50-2.72, 2 Ga 2.53-2.55
Cu4 0.2373 0.3147 0.8077 (multiplicity 8)  3 Ga 2.47-2.64, 6 Cu 2.50-2.72

For the electronic total energy, the calculation gives -66.6 eV per formula unit. The energy of formation comes out at 0.3 kcal/mol of atoms. Its density of states at the Fermi level is 0.2456 states/eV per atom.



# 2
DFT (GGA-PBE) results for an optimized crystal structure of Zn2Ga2Cu7.

abc: 8.9727 7.8593 4.4749
angles: 90.00 104.72 90.00
Closest atoms and distances in Å follow each position.
Space group C2/m (No. 12)
One atom of each set of equivalent atoms:
Zn1 0.2459 0.0000 0.2457 (multiplicity 4)  9 Cu 2.51-2.73, 2 Ga 2.73
Ga1 0.0000 0.2061 0.0000 (multiplicity 4)  8 Cu 2.59-2.76, 2 Zn 2.73
Cu1 0.0000 0.0000 0.5000 (multiplicity 2)  4 Cu 2.47, 2 Zn 2.73
Cu2 0.0383 0.5000 0.2695 (multiplicity 4)  4 Cu 2.33-2.52, 2 Zn 2.51-2.60, 2 Ga 2.59
Cu3 0.2275 0.1740 0.7401 (multiplicity 8)  5 Cu 2.47-2.74, 3 Zn 2.57-2.64, 2 Ga 2.60-2.61

The calculation puts the energy relative to the lowest polymorph listed for this composition at 84.5 meV/atom. For the electronic total energy, the calculation gives -36.8 eV per formula unit. The energy of formation comes out at 1.0 kcal/mol of atoms. Its density of states at the Fermi level is 0.1704 states/eV per atom.



# 3
DFT (GGA-PBE) results for an optimized crystal structure of ZnGa3Cu.

abc: 4.8024 4.8024 4.8024
angles: 90.00 90.00 90.00
Closest atoms and distances in Å follow each position.
Space group Pm-3m (No. 221)
One atom of each set of equivalent atoms:
Zn1 0.0000 0.0000 0.0000 (multiplicity 1)  6 Ga 2.40
Ga1 0.0000 0.0000 0.5000 (multiplicity 3)  2 Zn 2.40
Cu1 0.5000 0.5000 0.5000 (multiplicity 1)  12 Ga 3.40

The calculation puts the energy relative to the lowest polymorph listed for this composition at 535.7 meV/atom. For the electronic total energy, the calculation gives -11.7 eV per formula unit. The energy of formation comes out at 12.5 kcal/mol of atoms. Its density of states at the Fermi level is 0.3987 states/eV per atom.



Which value of energy of formation does entry 1 give? 0.3 kcal/mol of atoms